Compound: CrNi2As
Source: Alexandria via LeMat-Bulk
Functional: PBE-GGA
Structure: relaxed

Unit cell a=2.6971 b=3.8855 c=4.9165 alpha=90.00 beta=104.40 gamma=90.00
With the nearest neighbours (Å) after each atom.
Space group P2/m (No. 10)
Asymmetric unit:
Cr 0.0000 0.0000 0.0000  2 As 2.49, 8 Ni 2.64-2.66, 2 Cr 2.70
Ni 0.3775 0.5000 0.7497  2 As 2.36, 1 Ni 2.38, 2 Cr 2.64
As 0.5000 0.0000 0.5000  4 Ni 2.36, 2 Cr 2.49

Calculated values
total energy = -6.417 eV per atom